(1)
The following is a DFT calculation (GGA-PBEsol) of Fe3ReO after structural relaxation.

a b c (Å): 3.756 3.756 3.756
angles (deg): 90.00 90.00 90.00
Atoms (fractional coordinates):
Re (0.500, 0.500, 0.500)
Fe (0.000, 0.500, 0.000)
Fe (0.000, 0.000, 0.500)
Fe (0.500, 0.000, 0.000)
O (0.000, 0.000, 0.000)

Output
- raw formation energy (eV/atom) = 0.04
- space group = Pm-3m (221)

(2)
The following is a DFT calculation (GGA-PBEsol) of K2Ta after structural relaxation.

a b c (Å): 3.153 8.043 10.303
angles (deg): 110.96 98.80 90.00
Atoms (fractional coordinates):
K (0.835, 0.846, 0.669)
K (0.100, 0.591, 0.199)
K (0.165, 0.154, 0.331)
K (0.900, 0.409, 0.801)
Ta (0.499, 0.144, 0.999)
Ta (0.501, 0.856, 0.001)

Output
- formation energy from the elements (kJ/mol of atoms) = 112.76
- space group = C2/m (12)

(3)
The following is a DFT calculation (GGA-PBEsol) of CsTaTi3 after structural relaxation.

a b c (Å): 5.021 5.021 5.021
angles (deg): 90.00 90.00 90.00
Atoms (fractional coordinates):
Cs (0.500, 0.500, 0.500)
Ti (0.000, 0.500, 0.000)
Ti (0.000, 0.000, 0.500)
Ti (0.500, 0.000, 0.000)
Ta (0.000, 0.000, 0.000)

Output
- formation energy from the elements (kJ/mol of atoms) = 126.46
- space group = Pm-3m (221)